No. 1
The following is a DFT calculation (GGA-PBE) of an optimized crystal structure of Tm2ZnS.

Unit cell a=3.677 b=3.677 c=7.939 alpha=76.61 beta=76.61 gamma=60.00
Atoms (fractional coordinates):
Tm1 0.088 0.088 0.737
Tm2 0.246 0.246 0.262
Zn1 0.667 0.667 0.998
S1 0.499 0.499 0.503

The calculation puts the formation energy (no corrections) at -0.9808 eV/atom. For the total magnetic moment, the calculation gives 0.00 μB per atom. For the volume, the calculation gives 90 Å³ per cell.

No. 2
The following is a DFT calculation (GGA-PBE) of an optimized crystal structure of LiTcPb2.

Unit cell a=9.102 b=9.102 c=9.102 alpha=21.20 beta=21.20 gamma=21.20
Atoms (fractional coordinates):
Li1 0.750 0.750 0.750
Pb1 0.995 0.995 0.995
Pb2 0.505 0.505 0.505
Tc1 0.250 0.250 0.250

For the total magnetic moment, the calculation gives 0.00 μB per atom. For the volume, the calculation gives 86 Å³ per cell. The value obtained for the formation energy is 0.977 eV per formula unit.